Material: SrCdIn2Co
Method: DFT, PBE-GGA
State: optimized geometry

Calculated values
Total magnetic moment in μB per formula unit: 0.7
Calculated density in Mg/m³: 6.38

a b c (Å): 4.9847 4.9847 5.1185
angles (deg): 90.00 90.00 90.00
Space group P4/mmm (No. 123)
Symmetry-distinct sites (fractional):
Sr 0.0000 0.0000 0.0000 x1
Cd 0.5000 0.5000 0.0000 x1
In 0.0000 0.5000 0.5000 x2
Co 0.5000 0.5000 0.5000 x1

---

Material: Th2CdInCo
Method: DFT, PBE-GGA
State: optimized geometry

Calculated values
Total magnetic moment in μB per formula unit: 0.0
Calculated density in Mg/m³: 9.43

a b c (Å): 8.3837 3.8089 8.7348
angles (deg): 90.00 108.72 90.00
Space group P2_1/m (No. 11)
Symmetry-distinct sites (fractional):
Th 0.1130 0.2500 0.3851 x2
Th 0.2143 0.2500 0.0115 x2
Cd 0.4564 0.7500 0.3559 x2
In 0.3155 0.7500 0.7309 x2
Co 0.1348 0.7500 0.1921 x2

---

Material: TlCdIn2Co
Method: DFT, PBE-GGA
State: optimized geometry

Calculated values
Energy above the lowest structure with this stoichiometry in kcal/mol of atoms: 0.64
Total magnetic moment in μB per formula unit: 0.0
Calculated density in Mg/m³: 7.84

a b c (Å): 5.0139 5.0139 5.1001
angles (deg): 90.00 90.00 90.00
Space group P4/mmm (No. 123)
Symmetry-distinct sites (fractional):
Tl 0.0000 0.0000 0.0000 x1
Cd 0.5000 0.5000 0.0000 x1
In 0.0000 0.5000 0.5000 x2
Co 0.0000 0.0000 0.5000 x1

---

Material: TlCdIn2Co
Method: DFT, PBE-GGA
State: optimized geometry

Calculated values
Energy above the lowest structure with this stoichiometry in kcal/mol of atoms: 0.00
Total magnetic moment in μB per formula unit: 0.0
Calculated density in Mg/m³: 7.93

a b c (Å): 4.9673 4.9673 5.1392
angles (deg): 90.00 90.00 90.00
Space group P4/mmm (No. 123)
Symmetry-distinct sites (fractional):
Tl 0.0000 0.0000 0.0000 x1
Cd 0.5000 0.5000 0.0000 x1
In 0.0000 0.5000 0.5000 x2
Co 0.5000 0.5000 0.5000 x1

---

Material: TmCdInCo
Method: DFT, PBE-GGA
State: optimized geometry

Calculated values
Total magnetic moment in μB per formula unit: 1.2
Calculated density in Mg/m³: 9.55

a b c (Å): 6.8139 6.8139 6.8139
angles (deg): 90.00 90.00 90.00
Space group F-43m (No. 216)
Symmetry-distinct sites (fractional):
Tm 0.0000 0.0000 0.0000 x4
Cd 0.2500 0.2500 0.7500 x4
In 0.0000 0.0000 0.5000 x4
Co 0.2500 0.2500 0.2500 x4

---

Material: VCdIn2Co
Method: DFT, PBE-GGA
State: optimized geometry

Calculated values
Total magnetic moment in μB per formula unit: 2.5
Calculated density in Mg/m³: 5.60

a b c (Å): 5.1115 5.1115 5.1270
angles (deg): 90.00 90.00 90.00
Space group P4/mmm (No. 123)
Symmetry-distinct sites (fractional):
V 0.0000 0.0000 0.0000 x1
Cd 0.0000 0.0000 0.5000 x1
In 0.0000 0.5000 0.0000 x2
Co 0.5000 0.5000 0.5000 x1

---

Material: YCdInCo2
Method: DFT, PBE-GGA
State: optimized geometry

Calculated values
Total magnetic moment in μB per formula unit: 3.0
Calculated density in Mg/m³: 6.12

a b c (Å): 4.8361 4.8361 5.0319
angles (deg): 90.00 90.00 90.00
Space group P4/mmm (No. 123)
Symmetry-distinct sites (fractional):
Y 0.0000 0.0000 0.0000 x1
Cd 0.5000 0.5000 0.5000 x1
In 0.5000 0.5000 0.0000 x1
Co 0.0000 0.5000 0.5000 x2

---

Material: YCdIn2Co
Method: DFT, PBE-GGA
State: optimized geometry

Calculated values
Total magnetic moment in μB per formula unit: 0.0
Calculated density in Mg/m³: 6.60

a b c (Å): 4.9842 4.9842 4.9621
angles (deg): 90.00 90.00 90.00
Space group P4/mmm (No. 123)
Symmetry-distinct sites (fractional):
Y 0.0000 0.0000 0.0000 x1
Cd 0.5000 0.5000 0.0000 x1
In 0.0000 0.5000 0.5000 x2
Co 0.0000 0.0000 0.5000 x1

---

Material: Y2CdInCo
Method: DFT, PBE-GGA
State: optimized geometry

Calculated values
Total magnetic moment in μB per formula unit: 0.0
Calculated density in Mg/m³: 5.97

a b c (Å): 5.1111 5.1111 4.9407
angles (deg): 90.00 90.00 90.00
Space group P4/mmm (No. 123)
Symmetry-distinct sites (fractional):
Y 0.0000 0.5000 0.0000 x2
Cd 0.0000 0.0000 0.5000 x1
In 0.5000 0.5000 0.5000 x1
Co 0.5000 0.5000 0.0000 x1

---

Material: Cd2CoIr
Method: DFT, PBE-GGA
State: optimized geometry

Calculated values
Energy above the lowest structure with this stoichiometry in kcal/mol of atoms: 4.19
Total magnetic moment in μB per formula unit: 2.1
Calculated density in Mg/m³: 12.06

a b c (Å): 4.1146 4.1146 7.7422
angles (deg): 90.00 90.00 90.00
Space group I-4m2 (No. 119)
Symmetry-distinct sites (fractional):
Cd 0.0000 0.0000 0.0000 x2
Cd 0.0000 0.5000 0.2500 x2
Co 0.0000 0.5000 0.7500 x2
Ir 0.0000 0.0000 0.5000 x2

---

Material: Cd2CoIr
Method: DFT, PBE-GGA
State: optimized geometry

Calculated values
Energy above the lowest structure with this stoichiometry in kcal/mol of atoms: 4.32
Total magnetic moment in μB per formula unit: 1.9
Calculated density in Mg/m³: 12.03

a b c (Å): 4.0200 4.0200 8.1295
angles (deg): 90.00 90.00 90.00
Space group I4/mmm (No. 139)
Symmetry-distinct sites (fractional):
Cd 0.0000 0.5000 0.2500 x4
Co 0.0000 0.0000 0.0000 x2
Ir 0.0000 0.0000 0.5000 x2

---

Material: CdCoIr2
Method: DFT, PBE-GGA
State: optimized geometry

Calculated values
Total magnetic moment in μB per formula unit: 2.5
Calculated density in Mg/m³: 15.15

a b c (Å): 2.7695 4.2905 5.3068
angles (deg): 90.00 104.96 90.00
Space group P2/m (No. 10)
Symmetry-distinct sites (fractional):
Cd 0.0000 0.0000 0.0000 x1
Co 0.5000 0.0000 0.5000 x1
Ir 0.3525 0.5000 0.7243 x2

---

Material: Cd2CoIr
Method: DFT, PBE-GGA
State: optimized geometry

Calculated values
Energy above the lowest structure with this stoichiometry in kcal/mol of atoms: 5.17
Total magnetic moment in μB per formula unit: 1.4
Calculated density in Mg/m³: 12.03

a b c (Å): 4.5319 4.5319 3.1997
angles (deg): 90.00 90.00 90.00
Space group P4/mmm (No. 123)
Symmetry-distinct sites (fractional):
Cd 0.0000 0.5000 0.0000 x2
Co 0.0000 0.0000 0.5000 x1
Ir 0.5000 0.5000 0.5000 x1

---

Material: CdCoIr2
Method: DFT, PBE-GGA
State: optimized geometry

Calculated values
Total magnetic moment in μB per formula unit: 2.4
Calculated density in Mg/m³: 15.19

a b c (Å): 2.8305 4.6126 4.6549
angles (deg): 90.00 90.00 90.00
Space group Pmmm (No. 47)
Symmetry-distinct sites (fractional):
Cd 0.0000 0.0000 0.0000 x1
Co 0.5000 0.0000 0.5000 x1
Ir 0.0000 0.5000 0.5000 x1
Ir 0.5000 0.5000 0.0000 x1

---

Material: CdCo4Ir
Method: DFT, PBE-GGA
State: optimized geometry

Calculated values
Total magnetic moment in μB per formula unit: 7.7
Calculated density in Mg/m³: 11.47

a b c (Å): 6.7881 6.7881 6.7881
angles (deg): 90.00 90.00 90.00
Space group F-43m (No. 216)
Symmetry-distinct sites (fractional):
Cd 0.0000 0.0000 0.0000 x4
Co 0.1249 0.1249 0.6249 x16
Ir 0.2500 0.2500 0.2500 x4

---

Material: CdCoIr2
Method: DFT, PBE-GGA
State: optimized geometry

Calculated values
Total magnetic moment in μB per formula unit: 2.8
Calculated density in Mg/m³: 15.37

a b c (Å): 2.7839 2.7839 26.8343
angles (deg): 90.00 90.00 120.00
Space group R-3m (No. 166, hexagonal axes)
Symmetry-distinct sites (fractional):
Cd 0.0000 0.0000 0.0000 x3
Co 0.0000 0.0000 0.5000 x3
Ir 0.0000 0.0000 0.2415 x6

---

Material: Cd3CoIr
Method: DFT, PBE-GGA
State: optimized geometry

Calculated values
Energy above the lowest structure with this stoichiometry in kcal/mol of atoms: 0.00
Total magnetic moment in μB per formula unit: 2.3
Calculated density in Mg/m³: 7.18

a b c (Å): 5.1431 5.1431 5.1431
angles (deg): 90.00 90.00 90.00
Space group Pm-3m (No. 221)
Symmetry-distinct sites (fractional):
Cd 0.0000 0.0000 0.5000 x3
Co 0.5000 0.5000 0.5000 x1
Ir 0.0000 0.0000 0.0000 x1

---

Material: Cd2CoIr
Method: DFT, PBE-GGA
State: optimized geometry

Calculated values
Energy above the lowest structure with this stoichiometry in kcal/mol of atoms: 2.49
Total magnetic moment in μB per formula unit: 1.3
Calculated density in Mg/m³: 11.87

a b c (Å): 10.3200 2.8646 4.8523
angles (deg): 90.00 111.85 90.00
Space group Cm (No. 8)
Symmetry-distinct sites (fractional):
Cd 0.0000 0.0000 0.0000 x2
Cd 0.2129 0.0000 0.6319 x2
Co 0.2543 0.5000 0.1523 x2
Ir 0.4506 0.0000 0.4661 x2

---

Material: Cd2CoIr
Method: DFT, PBE-GGA
State: optimized geometry

Calculated values
Energy above the lowest structure with this stoichiometry in kcal/mol of atoms: 4.81
Total magnetic moment in μB per formula unit: 1.8
Calculated density in Mg/m³: 12.17

a b c (Å): 3.1354 4.5617 9.0846
angles (deg): 90.00 90.00 90.00
Space group Immm (No. 71)
Symmetry-distinct sites (fractional):
Cd 0.0000 0.0000 0.2380 x4
Co 0.0000 0.5000 0.5000 x2
Ir 0.0000 0.5000 0.0000 x2

---

Material: CdCoIr2
Method: DFT, PBE-GGA
State: optimized geometry

Calculated values
Total magnetic moment in μB per formula unit: 1.2
Calculated density in Mg/m³: 15.47

a b c (Å): 2.7744 2.7744 7.7526
angles (deg): 90.00 90.00 90.00
Space group P4mm (No. 99)
Symmetry-distinct sites (fractional):
Cd 0.0000 0.0000 0.0000 x1
Co 0.5000 0.5000 0.2626 x1
Ir 0.0000 0.0000 0.4759 x1
Ir 0.5000 0.5000 0.7148 x1

---

no.,formation enthalpy at 0 K (eV per atom)
1,-0.154
2,-0.198
3,0.118
4,0.090
5,-0.058
6,1.255
7,0.855
8,-0.127
9,-0.176
10,0.315
11,0.320
12,0.276
13,0.358
14,0.357
15,0.182
16,0.178
17,1.004
18,0.241
19,0.342
20,0.146